(1)
Material: Cd2GaAg
Method: DFT, GGA-PBE
State: relaxed

a = 5.4444 Å, b = 6.4835 Å, c = 5.6760 Å
α = 107.42°, β = 118.66°, γ = 90.00°
With the nearest neighbours (Å) after each atom.
Sites, in units of the cell vectors:
Cd (0.2175, 0.1178, 0.4507)  3 Ga 2.88-3.07, 3 Ag 2.93-2.97, 3 Cd 3.16-3.17
Cd (0.7825, 0.8822, 0.5493)  3 Ga 2.88-3.07, 3 Ag 2.93-2.97, 3 Cd 3.16-3.17
Cd (0.7668, 0.3822, 0.5493)  3 Ga 2.88-3.07, 3 Ag 2.93-2.97, 3 Cd 3.16-3.17
Cd (0.2332, 0.6178, 0.4507)  3 Ga 2.88-3.07, 3 Ag 2.93-2.97, 3 Cd 3.16-3.17
Ga (0.7278, 0.2501, 0.0000)  2 Ag 2.68-2.76, 2 Cd 2.88
Ga (0.2722, 0.7499, 0.0000)  2 Ag 2.68-2.76, 2 Cd 2.88
Ag (0.2352, 0.2500, 0.0000)  2 Ga 2.68-2.76, 6 Cd 2.93-2.97
Ag (0.7648, 0.7500, 0.0000)  2 Ga 2.68-2.76, 6 Cd 2.93-2.97

Results
Its mass density is 8.09 Mg/m³. As for the space group: No. 15. The energy relative to the elements comes out at 37 meV per atom.

***

(2)
Material: CdGa4Ag7
Method: DFT, GGA-PBE
State: relaxed

a = 3.0077 Å, b = 3.0077 Å, c = 27.5710 Å
α = 90.00°, β = 90.00°, γ = 120.00°
With the nearest neighbours (Å) after each atom.
Sites, in units of the cell vectors:
Ag (0.6667, 0.3333, 0.5888)  3 Ga 2.84, 3 Cd 3.00, 6 Ag 3.01
Ag (0.0000, 0.0000, 0.2489)  3 Ga 2.83, 9 Ag 2.94-3.01
Ag (0.3333, 0.6667, 0.4112)  3 Ga 2.84, 3 Cd 3.00, 6 Ag 3.01
Ag (0.3333, 0.6667, 0.1630)  3 Ga 2.83, 9 Ag 2.94-3.01
Ag (0.0000, 0.0000, 0.7511)  3 Ga 2.83, 9 Ag 2.94-3.01
Ag (0.0000, 0.0000, 0.0000)  6 Ga 2.85, 6 Ag 3.01
Ag (0.6667, 0.3333, 0.8370)  3 Ga 2.83, 9 Ag 2.94-3.01
Cd (0.0000, 0.0000, 0.5000)  6 Ag 3.00, 6 Cd 3.01
Ga (0.6667, 0.3333, 0.3299)  6 Ag 2.83-2.84, 6 Ga 3.01
Ga (0.6667, 0.3333, 0.0819)  6 Ag 2.83-2.85, 6 Ga 3.01
Ga (0.3333, 0.6667, 0.6701)  6 Ag 2.83-2.84, 6 Ga 3.01
Ga (0.3333, 0.6667, 0.9181)  6 Ag 2.83-2.85, 6 Ga 3.01

Results
The value obtained for the energy relative to the lowest polymorph listed for this composition is 0.00 eV/f.u. Its mass density is 8.81 Mg/m³. As for the space group: No. 164. The energy relative to the elements comes out at 7 meV per atom.

***

(3)
Material: Cd6GaAg12
Method: DFT, GGA-PBE
State: relaxed

a = 7.1659 Å, b = 7.1659 Å, c = 7.1659 Å
α = 92.04°, β = 92.04°, γ = 92.04°
With the nearest neighbours (Å) after each atom.
Sites, in units of the cell vectors:
Ag (0.0452, 0.1447, 0.3662)  1 Ga 2.79, 4 Ag 2.81-2.95, 5 Cd 2.93-3.08
Ag (0.5502, 0.2074, 0.4663)  4 Ag 2.81-3.09, 4 Cd 2.81-2.97
Ag (0.4498, 0.7926, 0.5337)  4 Ag 2.81-3.09, 4 Cd 2.81-2.97
Ag (0.5337, 0.4498, 0.7926)  4 Ag 2.81-3.09, 4 Cd 2.81-2.97
Ag (0.6338, 0.9548, 0.8553)  1 Ga 2.79, 4 Ag 2.81-2.95, 5 Cd 2.93-3.08
Ag (0.8553, 0.6338, 0.9548)  1 Ga 2.79, 4 Ag 2.81-2.95, 5 Cd 2.93-3.08
Ag (0.9548, 0.8553, 0.6338)  1 Ga 2.79, 4 Ag 2.81-2.95, 5 Cd 2.93-3.08
Ag (0.1447, 0.3662, 0.0452)  1 Ga 2.79, 4 Ag 2.81-2.95, 5 Cd 2.93-3.08
Ag (0.2074, 0.4663, 0.5502)  4 Ag 2.81-3.09, 4 Cd 2.81-2.97
Ag (0.4663, 0.5502, 0.2074)  4 Ag 2.81-3.09, 4 Cd 2.81-2.97
Ag (0.7926, 0.5337, 0.4498)  4 Ag 2.81-3.09, 4 Cd 2.81-2.97
Ag (0.3662, 0.0452, 0.1447)  1 Ga 2.79, 4 Ag 2.81-2.95, 5 Cd 2.93-3.08
Cd (0.7285, 0.2824, 0.1157)  9 Ag 2.81-3.08, 1 Ga 2.97, 2 Cd 3.10
Cd (0.2824, 0.1157, 0.7285)  9 Ag 2.81-3.08, 1 Ga 2.97, 2 Cd 3.10
Cd (0.2715, 0.7176, 0.8843)  9 Ag 2.81-3.08, 1 Ga 2.97, 2 Cd 3.10
Cd (0.7176, 0.8843, 0.2715)  9 Ag 2.81-3.08, 1 Ga 2.97, 2 Cd 3.10
Cd (0.8843, 0.2715, 0.7176)  9 Ag 2.81-3.08, 1 Ga 2.97, 2 Cd 3.10
Cd (0.1157, 0.7285, 0.2824)  9 Ag 2.81-3.08, 1 Ga 2.97, 2 Cd 3.10
Ga (0.0000, 0.0000, 0.0000)  6 Ag 2.79, 6 Cd 2.97

Results
The value obtained for the energy relative to the lowest polymorph listed for this composition is 0.00 eV/f.u. Its mass density is 9.22 Mg/m³. As for the space group: No. 148. The energy relative to the elements comes out at 14 meV per atom.

***

(4)
Material: CdGaAg14
Method: DFT, GGA-PBE
State: relaxed

a = 5.8333 Å, b = 5.8333 Å, c = 9.6334 Å
α = 90.00°, β = 90.00°, γ = 118.50°
With the nearest neighbours (Å) after each atom.
Sites, in units of the cell vectors:
Ag (0.5472, 0.9553, 0.5000)  2 Ga 2.91-2.93, 2 Cd 2.91-2.92, 8 Ag 2.94-3.00
Ag (0.3763, 0.1273, 0.7511)  10 Ag 2.91-3.00, 1 Ga 2.94, 1 Cd 2.95
Ag (0.7035, 0.7940, 0.0000)  12 Ag 2.91-3.00
Ag (0.3749, 0.6251, 0.7500)  11 Ag 2.91-2.98, 1 Ga 2.96
Ag (0.8748, 0.1252, 0.7536)  11 Ag 2.91-2.98, 1 Cd 2.99
Ag (0.3749, 0.6251, 0.2500)  11 Ag 2.91-2.98, 1 Ga 2.96
Ag (0.8748, 0.1252, 0.2464)  11 Ag 2.91-2.98, 1 Cd 2.99
Ag (0.3763, 0.1273, 0.2489)  10 Ag 2.91-3.00, 1 Ga 2.94, 1 Cd 2.95
Ag (0.8727, 0.6237, 0.2489)  10 Ag 2.91-3.00, 1 Ga 2.94, 1 Cd 2.95
Ag (0.8727, 0.6237, 0.7511)  10 Ag 2.91-3.00, 1 Ga 2.94, 1 Cd 2.95
Ag (0.0447, 0.4528, 0.5000)  2 Ga 2.91-2.93, 2 Cd 2.91-2.92, 8 Ag 2.94-3.00
Ag (0.7043, 0.2957, 0.0000)  12 Ag 2.91-2.98
Ag (0.2043, 0.7957, 0.0000)  12 Ag 2.92-2.98
Ag (0.2060, 0.2965, 0.0000)  12 Ag 2.91-3.00
Ga (0.5467, 0.4533, 0.5000)  10 Ag 2.91-2.96, 2 Cd 2.98
Cd (0.0459, 0.9541, 0.5000)  10 Ag 2.91-2.99, 2 Ga 2.98

Results
Its mass density is 9.76 Mg/m³. As for the space group: No. 38. The energy relative to the elements comes out at 19 meV per atom.

***

(5)
Material: Cd6GaAg3
Method: DFT, GGA-PBE
State: relaxed

a = 3.1595 Å, b = 10.4628 Å, c = 13.0500 Å
α = 103.93°, β = 90.00°, γ = 90.00°
With the nearest neighbours (Å) after each atom.
Sites, in units of the cell vectors:
Ga (0.2500, 0.9575, 0.2312)  3 Ag 2.74-2.81, 2 Cd 3.03
Ga (0.7500, 0.0425, 0.7688)  3 Ag 2.74-2.81, 2 Cd 3.03
Cd (0.2500, 0.2550, 0.2453)  3 Ag 2.91-2.92, 3 Cd 2.95-3.16, 1 Ga 3.07
Cd (0.7500, 0.1144, 0.4173)  2 Ag 3.00, 2 Ga 3.03, 7 Cd 3.06-3.36
Cd (0.7500, 0.4580, 0.6650)  4 Ag 2.87-2.93, 5 Cd 2.95-3.18
Cd (0.7500, 0.4502, 0.1096)  2 Ag 2.90, 4 Cd 3.01-3.16
Cd (0.7500, 0.7770, 0.0196)  5 Ag 2.90-2.95, 4 Cd 3.01-3.16
Cd (0.7500, 0.7450, 0.7547)  3 Ag 2.91-2.92, 3 Cd 2.95-3.16, 1 Ga 3.07
Cd (0.2500, 0.5420, 0.3350)  4 Ag 2.87-2.93, 5 Cd 2.95-3.18
Cd (0.2500, 0.2230, 0.9804)  5 Ag 2.90-2.95, 4 Cd 3.01-3.16
Cd (0.7500, 0.8129, 0.3707)  3 Ag 3.02-3.09, 7 Cd 3.06-3.18, 2 Ga 3.07
Cd (0.2500, 0.1871, 0.6293)  3 Ag 3.02-3.09, 7 Cd 3.06-3.18, 2 Ga 3.07
Cd (0.2500, 0.8856, 0.5827)  2 Ag 3.00, 2 Ga 3.03, 7 Cd 3.06-3.36
Cd (0.2500, 0.5498, 0.8904)  2 Ag 2.90, 4 Cd 3.01-3.16
Ag (0.2500, 0.9367, 0.9060)  2 Ga 2.81, 5 Cd 2.92-2.95, 2 Ag 2.95
Ag (0.2500, 0.6882, 0.1751)  1 Ga 2.74, 7 Cd 2.87-3.02
Ag (0.7500, 0.3118, 0.8249)  1 Ga 2.74, 7 Cd 2.87-3.02
Ag (0.7500, 0.6341, 0.5274)  7 Cd 2.87-3.09, 4 Ag 3.15-3.16
Ag (0.2500, 0.3659, 0.4726)  7 Cd 2.87-3.09, 4 Ag 3.15-3.16
Ag (0.7500, 0.0633, 0.0940)  2 Ga 2.81, 5 Cd 2.92-2.95, 2 Ag 2.95

Results
The value obtained for the energy relative to the lowest polymorph listed for this composition is 0.00 eV/f.u. Its mass density is 8.47 Mg/m³. As for the space group: No. 11. The energy relative to the elements comes out at 7 meV per atom.

***

(6)
Material: Cd2GaAg3
Method: DFT, GGA-PBE
State: relaxed

a = 4.1274 Å, b = 6.8898 Å, c = 8.2961 Å
α = 90.00°, β = 90.01°, γ = 73.70°
With the nearest neighbours (Å) after each atom.
Sites, in units of the cell vectors:
Ga (0.3323, 0.3397, 0.0000)  8 Ag 2.86-3.04, 2 Ga 2.92-3.00, 2 Cd 3.03-3.07
Ga (0.6677, 0.6603, 0.0000)  8 Ag 2.86-3.04, 2 Ga 2.92-3.00, 2 Cd 3.03-3.07
Ag (0.8320, 0.3361, 0.7601)  3 Ga 2.86-2.93, 4 Ag 2.96-3.06, 5 Cd 2.98-3.10
Ag (0.1681, 0.6639, 0.7601)  3 Ga 2.86-2.93, 4 Ag 2.96-3.06, 5 Cd 2.98-3.10
Ag (0.5000, 0.0000, 0.2472)  6 Cd 2.91-3.05, 4 Ag 3.00-3.06, 2 Ga 3.04
Ag (0.8319, 0.3361, 0.2399)  3 Ga 2.86-2.93, 4 Ag 2.96-3.06, 5 Cd 2.98-3.10
Ag (0.1680, 0.6639, 0.2399)  3 Ga 2.86-2.93, 4 Ag 2.96-3.06, 5 Cd 2.98-3.10
Ag (0.5000, 0.0000, 0.7528)  6 Cd 2.91-3.05, 4 Ag 3.00-3.06, 2 Ga 3.04
Cd (0.0000, 0.0000, 0.5000)  8 Ag 2.94-3.10, 4 Cd 3.00-3.06
Cd (0.0000, 0.0000, 0.0000)  8 Ag 2.91-2.98, 4 Ga 3.03-3.07
Cd (0.3327, 0.3357, 0.5000)  4 Cd 2.96-3.06, 8 Ag 2.98-3.06
Cd (0.6673, 0.6643, 0.5000)  4 Cd 2.96-3.06, 8 Ag 2.98-3.06

Results
The value obtained for the energy relative to the lowest polymorph listed for this composition is 0.00 eV/f.u. Its mass density is 9.07 Mg/m³. As for the space group: No. 10. The energy relative to the elements comes out at -10 meV per atom.

***

(7)
Material: CdGaAg2
Method: DFT, GGA-PBE
State: relaxed

a = 4.4858 Å, b = 4.4858 Å, c = 5.3205 Å
α = 65.07°, β = 65.07°, γ = 60.00°
With the nearest neighbours (Å) after each atom.
Sites, in units of the cell vectors:
Ga (0.6865, 0.6865, 0.9405)  6 Ag 2.64-2.84, 1 Cd 2.78
Cd (0.4871, 0.4871, 0.5388)  1 Ga 2.78, 7 Ag 2.92-3.05
Ag (0.2688, 0.2688, 0.1936)  3 Ga 2.84, 4 Ag 2.94-3.10, 4 Cd 3.04-3.05
Ag (0.0576, 0.0576, 0.8271)  3 Ga 2.64, 3 Cd 2.92, 1 Ag 2.94

Results
Its mass density is 8.16 Mg/m³. As for the space group: No. 160. The energy relative to the elements comes out at 48 meV per atom.

***

(8)
Material: CdGa6Ag
Method: DFT, GGA-PBE
State: relaxed

a = 4.7683 Å, b = 4.7683 Å, c = 8.8842 Å
α = 107.14°, β = 107.14°, γ = 107.69°
With the nearest neighbours (Å) after each atom.
Sites, in units of the cell vectors:
Ga (0.8169, 0.3528, 0.8177)  5 Ga 2.64-2.83, 2 Ag 2.74-2.81
Ga (0.1831, 0.6472, 0.1823)  5 Ga 2.64-2.83, 2 Ag 2.74-2.81
Ga (0.1709, 0.1709, 0.6649)  5 Ga 2.58-2.70, 1 Cd 2.88
Ga (0.6472, 0.1831, 0.1823)  5 Ga 2.64-2.83, 2 Ag 2.74-2.81
Ga (0.8291, 0.8291, 0.3351)  5 Ga 2.58-2.70, 1 Cd 2.88
Ga (0.3528, 0.8169, 0.8177)  5 Ga 2.64-2.83, 2 Ag 2.74-2.81
Ag (0.0000, 0.0000, 0.0000)  8 Ga 2.74-2.81
Cd (0.5000, 0.5000, 0.5000)  6 Ga 2.88-3.17

Results
Its mass density is 6.36 Mg/m³. As for the space group: No. 12. The energy relative to the elements comes out at 40 meV per atom.